Here is a geometry-optimized CoCN2F structure from Alexandria. Energies are from PBE with a Hubbard U.

Calculated values
ρ = 3.89 g cm⁻³
Excess energy over the best structure of this formula in the dataset = 0.0 kJ/mol of atoms
Total magnetic moment = 2.39 μB/cell
Energy = -5.2985 eV/atom

Lattice parameters (Å, degrees): 2.977 2.977 5.688 90.00 90.00 90.00
Sites, in units of the cell vectors:
Co  0.000  0.000  0.000
C  0.500  0.500  0.500
N  0.000  0.500  0.500
N  0.500  0.000  0.500
F  0.500  0.500  0.000